# 1
# TaTlSN2

Crystalline TaTlSN2 at its relaxed geometry (GGA-PBE, the Alexandria database).

The structure in POSCAR format:
```
TaTlSN2
1.0
-2.8620 -1.9008 2.1679
2.8825 -1.9540 2.0921
0.0821 3.8735 3.5047
Ta N S Tl
1 2 1 1
Direct
0.0000 0.0000 0.0000 Ta
0.5000 0.0000 0.0000 N
0.0000 0.5000 0.0000 N
0.0000 0.0000 0.5000 S
0.5000 0.5000 0.5000 Tl
```

Output
Total DFT energy (no corrections) ... -0.5125 Ry per atom
D(E_F) ... 2.238 states/eV/f.u.

# 2
# Ta2TlSN

Crystalline Ta2TlSN at its relaxed geometry (GGA-PBE, the Alexandria database).

The structure in POSCAR format:
```
Ta2TlSN
1.0
4.1600 0.0000 0.0000
0.0000 5.4732 0.0000
0.0000 0.0000 4.1600
Ta N Tl S
2 1 1 1
Direct
0.0000 0.0000 0.5000 Ta
0.5000 0.0000 0.0000 Ta
0.0000 0.0000 0.0000 N
0.0000 0.5000 0.0000 Tl
0.5000 0.5000 0.5000 S
```

Output
Total DFT energy (no corrections) ... -0.5326 Ry per atom
D(E_F) ... 4.484 states/eV/f.u.

# 3
# TaTlSN2

Crystalline TaTlSN2 at its relaxed geometry (GGA-PBE, the Alexandria database).

The structure in POSCAR format:
```
TaTlSN2
1.0
4.1379 0.0000 0.0000
0.0000 4.1379 0.0000
0.0000 0.0000 5.2447
N Tl S Ta
2 1 1 1
Direct
0.5000 0.0000 0.0000 N
0.0000 0.5000 0.0000 N
0.0000 0.0000 0.0000 Tl
0.0000 0.0000 0.5000 S
0.5000 0.5000 0.5000 Ta
```

Output
Total DFT energy (no corrections) ... -0.3601 Ry per atom
D(E_F) ... 2.958 states/eV/f.u.

# 4
# TaVSN2

Crystalline TaVSN2 at its relaxed geometry (GGA-PBE, the Alexandria database).

The structure in POSCAR format:
```
TaVSN2
1.0
-1.8816 2.5785 2.3581
1.5180 -1.8091 3.1894
3.9413 3.0233 -0.1610
V S N Ta
1 1 2 1
Direct
0.5000 0.5000 0.5000 V
0.0000 0.0000 0.5000 S
0.5000 0.0000 0.0000 N
0.0000 0.5000 0.0000 N
0.0000 0.0000 0.0000 Ta
```

Output
Total DFT energy (no corrections) ... -0.5883 Ry per atom
D(E_F) ... 5.410 states/eV/f.u.

# 5
# TaVSN2

Crystalline TaVSN2 at its relaxed geometry (GGA-PBE, the Alexandria database).

The structure in POSCAR format:
```
TaVSN2
1.0
-2.4030 -2.3150 -1.6748
1.1037 -2.7706 2.2459
-3.2270 1.1638 3.0215
N Ta V S
2 1 1 1
Direct
0.5000 0.0000 0.0000 N
0.0000 0.5000 0.0000 N
0.5000 0.5000 0.5000 Ta
0.0000 0.0000 0.0000 V
0.0000 0.0000 0.5000 S
```

Output
Total DFT energy (no corrections) ... -0.5866 Ry per atom
D(E_F) ... 4.140 states/eV/f.u.

# 6
# TaWSN2

Crystalline TaWSN2 at its relaxed geometry (GGA-PBE, the Alexandria database).

The structure in POSCAR format:
```
TaWSN2
1.0
3.9814 0.0000 0.0000
0.0000 3.9814 0.0000
0.0000 0.0000 4.9447
S W Ta N
1 1 1 2
Direct
0.0000 0.0000 0.5000 S
0.5000 0.5000 0.5000 W
0.0000 0.0000 0.0000 Ta
0.5000 0.0000 0.0000 N
0.0000 0.5000 0.0000 N
```

Output
Total DFT energy (no corrections) ... -0.6076 Ry per atom
D(E_F) ... 3.536 states/eV/f.u.

# 7
# TaWSN2

Crystalline TaWSN2 at its relaxed geometry (GGA-PBE, the Alexandria database).

The structure in POSCAR format:
```
TaWSN2
1.0
3.8826 0.0000 0.0000
0.0000 3.8826 0.0000
0.0000 0.0000 4.7706
W N S Ta
1 2 1 1
Direct
0.0000 0.0000 0.0000 W
0.0000 0.5000 0.0000 N
0.5000 0.0000 0.0000 N
0.0000 0.0000 0.5000 S
0.5000 0.5000 0.5000 Ta
```

Output
Total DFT energy (no corrections) ... -0.6218 Ry per atom
D(E_F) ... 3.567 states/eV/f.u.

# 8
# YTaSN2

Crystalline YTaSN2 at its relaxed geometry (GGA-PBE, the Alexandria database).

The structure in POSCAR format:
```
YTaSN2
1.0
-2.8267 2.7362 1.4887
-2.0625 0.4064 -4.6633
-2.6127 -3.1772 0.8787
Ta N S Y
1 2 1 1
Direct
0.5000 0.5000 0.5000 Ta
0.5000 0.0000 0.0000 N
0.0000 0.0000 0.5000 N
0.0000 0.5000 0.0000 S
0.0000 0.0000 0.0000 Y
```

Output
Total DFT energy (no corrections) ... -0.4914 Ry per atom
D(E_F) ... 8.222 states/eV/f.u.

# 9
# YTaSN2

Crystalline YTaSN2 at its relaxed geometry (GGA-PBE, the Alexandria database).

The structure in POSCAR format:
```
YTaSN2
1.0
4.0557 0.0000 0.0000
0.0000 4.0557 0.0000
0.0000 0.0000 4.8503
N Ta Y S
2 1 1 1
Direct
0.0000 0.5000 0.0000 N
0.5000 0.0000 0.0000 N
0.0000 0.0000 0.0000 Ta
0.5000 0.5000 0.5000 Y
0.0000 0.0000 0.5000 S
```

Output
Total DFT energy (no corrections) ... -0.6380 Ry per atom
D(E_F) ... 1.975 states/eV/f.u.

# 10
# TaZnS2N

Crystalline TaZnS2N at its relaxed geometry (GGA-PBE, the Alexandria database).

The structure in POSCAR format:
```
TaZnS2N
1.0
4.6865 0.0000 0.0000
0.0000 4.6865 0.0000
0.0000 0.0000 3.5699
N S Zn Ta
1 2 1 1
Direct
0.0000 0.0000 0.5000 N
0.5000 0.0000 0.0000 S
0.0000 0.5000 0.0000 S
0.0000 0.0000 0.0000 Zn
0.5000 0.5000 0.5000 Ta
```

Output
Total DFT energy (no corrections) ... -0.3626 Ry per atom
D(E_F) ... 6.675 states/eV/f.u.

# 11
# TaZnS2N

Crystalline TaZnS2N at its relaxed geometry (GGA-PBE, the Alexandria database).

The structure in POSCAR format:
```
TaZnS2N
1.0
-4.5868 0.3105 1.7710
-1.7705 -1.6259 -4.3004
0.2470 -3.6568 1.2808
S Zn Ta N
2 1 1 1
Direct
0.0000 0.5000 0.0000 S
0.5000 0.0000 0.0000 S
0.5000 0.5000 0.5000 Zn
0.0000 0.0000 0.0000 Ta
0.0000 0.0000 0.5000 N
```

Output
Total DFT energy (no corrections) ... -0.4408 Ry per atom
D(E_F) ... 2.879 states/eV/f.u.

# 12
# ZrTa2SN

Crystalline ZrTa2SN at its relaxed geometry (GGA-PBE, the Alexandria database).

The structure in POSCAR format:
```
ZrTa2SN
1.0
5.1235 0.0000 0.0000
0.0000 3.9950 0.0000
0.0000 0.0000 5.1235
Ta S N Zr
2 1 1 1
Direct
0.5000 0.0000 0.0000 Ta
0.0000 0.0000 0.5000 Ta
0.5000 0.5000 0.5000 S
0.0000 0.5000 0.0000 N
0.0000 0.0000 0.0000 Zr
```

Output
Total DFT energy (no corrections) ... -0.5346 Ry per atom
D(E_F) ... 5.715 states/eV/f.u.